# CdNi2AgO PBE+U optimized geometry
data_CdNi2AgO
_symmetry_space_group_name_H-M 'P 1'
_symmetry_Int_Tables_number 1
_symmetry_space_group_name_Hall 'P 1'
_cell_length_a 4.780
_cell_length_b 5.099
_cell_length_c 4.780
_cell_angle_alpha 90.00
_cell_angle_beta 90.00
_cell_angle_gamma 90.00
loop_
_atom_site_label
_atom_site_type_symbol
_atom_site_fract_x
_atom_site_fract_y
_atom_site_fract_z
Ni1 Ni 0.000 0.000 0.500
Ni2 Ni 0.500 0.000 0.000
Ag1 Ag 0.000 0.500 0.000
Cd1 Cd 0.000 0.000 0.000
O1 O 0.500 0.500 0.500
# Calculated density: 5.0 Mg/m³
# Fermi-level density of states: 0.837 states/eV/atom
# Calculated total energy: -1.324 eV/atom
# Symmetry: P4/mmm
# Total moment: 2.10 μB per formula unit